1.
DFT (GGA-PBE) results for a relaxed structure of Bi2HSe.

Summary:
Energy above the lowest structure with this stoichiometry, eV per atom: 0.000

Unit cell a=7.056 b=7.056 c=7.056 alpha=128.53 beta=128.53 gamma=75.77
Positions (direct):
Bi (0.031, 0.625, 0.906)
Bi (0.375, 0.281, 0.406)
Bi (0.719, 0.125, 0.094)
Bi (0.875, 0.969, 0.594)
H (0.000, 0.000, 0.000)
H (0.750, 0.250, 0.500)
Se (0.250, 0.750, 0.500)
Se (0.500, 0.500, 0.000)



2.
DFT (GGA-PBE) results for a relaxed structure of Y4Se3S.

Summary:
Energy above the lowest structure with this stoichiometry, eV per atom: 0.032

Unit cell a=5.728 b=5.728 c=5.728 alpha=90.00 beta=90.00 gamma=90.00
Positions (direct):
Y (0.000, 0.000, 0.000)
Y (0.000, 0.500, 0.500)
Y (0.500, 0.000, 0.500)
Y (0.500, 0.500, 0.000)
Se (0.000, 0.000, 0.500)
Se (0.000, 0.500, 0.000)
Se (0.500, 0.000, 0.000)
S (0.500, 0.500, 0.500)



The highest energy above the lowest structure with this stoichiometry belongs to which entry? Y4Se3S



Which formula does entry 1 have? Bi2HSe



Which value of energy above the lowest structure with this stoichiometry does entry 1 give? 0.000 eV per atom



Which value of energy above the lowest structure with this stoichiometry does entry 1 give? 0.000 eV per atom